Mn2CO6: optimized geometry, PBE+U.

Raw total energy (eV per atom): -6.5242
Space-group type: No. 136
M_tot (μB per formula unit): 5.99
Fermi-level density of states (states/eV/cell): 7.3

Cell: 4.449 4.449 8.219 Å, 90.00 90.00 90.00°
Fractional positions:
Mn 0.500 0.500 0.333
Mn 0.500 0.500 0.667
Mn 0.000 0.000 0.167
Mn 0.000 0.000 0.833
C 0.500 0.500 0.000
C 0.000 0.000 0.500
O 0.671 0.671 0.141
O 0.671 0.671 0.859
O 0.702 0.702 0.500
O 0.798 0.202 0.000
O 0.829 0.171 0.359
O 0.829 0.171 0.641
O 0.171 0.829 0.359
O 0.171 0.829 0.641
O 0.202 0.798 0.000
O 0.298 0.298 0.500
O 0.329 0.329 0.141
O 0.329 0.329 0.859